## CdTcSe4 (GGA-PBE)

Data for a geometry-optimized CdTcSe4 structure.

Geometry as POSCAR:
```
CdTcSe4
1.0
0.000 4.054 4.054
4.054 0.000 4.054
4.054 4.054 0.000
Cd Tc Se
1 1 4
direct
0.000 0.000 0.000
0.250 0.250 0.250
0.125 0.625 0.625
0.625 0.125 0.625
0.625 0.625 0.125
0.625 0.625 0.625
```

Values from the calculation:
electronic total energy = -3.3116 eV/atom
space-group type = F-43m, No. 216
formation energy without anion corrections = 0.89 eV per atom

## CdTcSe2 (GGA-PBE)

Data for a geometry-optimized CdTcSe2 structure.

Geometry as POSCAR:
```
CdTcSe2
1.0
3.047 0.000 0.000
0.000 3.047 0.000
0.000 0.000 9.317
Cd Tc Se
1 1 2
direct
0.000 0.000 0.000
0.000 0.000 0.500
0.500 0.500 0.333
0.500 0.500 0.667
```

Values from the calculation:
electronic total energy = -4.6332 eV/atom
space-group type = P4/mmm, No. 123
formation energy without anion corrections = -0.07 eV per atom

## CdTeSe2 (GGA-PBE)

Data for a geometry-optimized CdTeSe2 structure.

Geometry as POSCAR:
```
CdTeSe2
1.0
2.014 1.163 8.443
-2.014 1.163 8.443
0.000 -2.326 8.443
Cd Te Se
1 1 2
direct
0.000 0.000 0.000
0.500 0.500 0.500
0.395 0.395 0.395
0.605 0.605 0.605
```

Values from the calculation:
electronic total energy = -2.8635 eV/atom
space-group type = R-3m, No. 166
formation energy without anion corrections = -0.11 eV per atom

Per-record DOS at the Fermi energy, states/eV/cell: 2.83, 2.83, 2.15